1.
Ce5Pa2Os4 after structural relaxation. Source: Alexandria, functional GGA-PBE.

```
Ce5Pa2Os4
1.0
3.137 0.000 0.000
0.000 4.532 0.276
-1.568 -1.102 17.453
Ce Pa Os
5 2 4
Direct
0.205 0.999 0.410 Ce
0.795 0.001 0.590 Ce
0.133 0.498 0.267 Ce
0.500 0.000 0.000 Ce
0.867 0.502 0.733 Ce
0.085 0.997 0.170 Pa
0.915 0.003 0.830 Pa
0.719 0.499 0.437 Os
0.956 0.502 0.913 Os
0.281 0.501 0.563 Os
0.044 0.498 0.087 Os
```

Properties
Energy relative to the elements in eV per atom: 0.155

---

2.
CePaOsPb after structural relaxation. Source: Alexandria, functional GGA-PBE.

```
CePaOsPb
1.0
-1.856 -2.035 1.746
1.866 0.545 2.618
-5.302 6.856 2.352
Ce Pa Os Pb
1 1 1 1
Direct
0.500 0.500 0.784 Ce
0.500 0.500 0.365 Pa
0.000 0.000 0.561 Os
0.000 0.000 0.075 Pb
```

Properties
Energy relative to the elements in eV per atom: -0.281

---

3.
CePaOsPt after structural relaxation. Source: Alexandria, functional GGA-PBE.

```
CePaOsPt
1.0
4.936 0.000 0.000
2.468 4.275 0.000
2.468 1.425 4.030
Pa Os Ce Pt
1 1 1 1
Direct
0.500 0.500 0.500 Pa
0.250 0.250 0.250 Os
0.000 0.000 0.000 Ce
0.750 0.750 0.750 Pt
```

Properties
Energy relative to the elements in eV per atom: -0.471

---

4.
CePuPaOs after structural relaxation. Source: Alexandria, functional GGA-PBE.

```
CePuPaOs
1.0
-1.903 0.386 4.555
1.923 -2.645 3.719
2.573 2.262 3.575
Pa Os Ce Pu
1 1 1 1
Direct
0.000 0.000 0.000 Pa
0.750 0.750 0.750 Os
0.250 0.250 0.250 Ce
0.500 0.500 0.500 Pu
```

Properties
Energy relative to the elements in eV per atom: -0.028

---

5.
CePaSnOs after structural relaxation. Source: Alexandria, functional GGA-PBE.

```
CePaSnOs
1.0
-1.866 -2.287 1.307
1.509 -2.241 -1.767
5.905 -1.123 6.469
Ce Pa Sn Os
1 1 1 1
Direct
0.500 0.500 0.789 Ce
0.500 0.500 0.359 Pa
0.000 0.000 0.075 Sn
0.000 0.000 0.562 Os
```

Properties
Energy relative to the elements in eV per atom: -0.397

---

6.
CePaTeOs after structural relaxation. Source: Alexandria, functional GGA-PBE.

```
CePaTeOs
1.0
-3.367 -2.070 0.933
3.647 -1.702 0.546
1.273 4.743 6.278
Ce Pa Te Os
1 1 1 1
Direct
0.500 0.148 0.663 Ce
0.102 0.949 0.065 Pa
0.963 0.380 0.358 Te
0.314 0.555 0.884 Os
```

Properties
E_tot in eV per atom: -8.099

---

7.
Ce7Os2Pb after structural relaxation. Source: Alexandria, functional GGA-PBE.

```
Ce7Os2Pb
1.0
5.223 0.000 0.000
0.000 7.919 0.570
0.000 -2.982 7.359
Ce Os Pb
7 2 1
Direct
0.000 0.723 0.277 Ce
0.000 0.277 0.723 Ce
0.500 0.078 0.300 Ce
0.500 0.922 0.700 Ce
0.500 0.300 0.078 Ce
0.500 0.700 0.922 Ce
0.500 0.500 0.500 Ce
0.500 0.703 0.297 Os
0.500 0.297 0.703 Os
0.000 0.000 0.000 Pb
```

Properties
Energy relative to the elements in eV per atom: -0.024

---

8.
CeOsPb after structural relaxation. Source: Alexandria, functional GGA-PBE.

```
CeOsPb
1.0
-1.161 3.742 2.292
1.640 -1.829 3.816
6.183 1.891 -4.449
Ce Os Pb
2 2 2
Direct
0.130 0.130 0.259 Ce
0.870 0.870 0.741 Ce
0.000 0.500 0.000 Os
0.500 0.000 0.000 Os
0.630 0.630 0.261 Pb
0.370 0.370 0.739 Pb
```

Properties
Energy relative to the elements in eV per atom: -0.115

---

9.
Ce3OsPb after structural relaxation. Source: Alexandria, functional GGA-PBE.

```
Ce3OsPb
1.0
5.395 0.000 0.000
0.000 5.395 0.000
0.000 0.000 5.395
Pb Os Ce
1 1 3
Direct
0.500 0.500 0.500 Pb
0.000 0.000 0.000 Os
0.000 0.500 0.000 Ce
0.000 0.000 0.500 Ce
0.500 0.000 0.000 Ce
```

Properties
Energy relative to the elements in eV per atom: -0.192

---

10.
Ce4OsPb after structural relaxation. Source: Alexandria, functional GGA-PBE.

```
Ce4OsPb
1.0
-4.981 1.881 -2.623
-3.373 0.120 6.492
6.368 6.202 -0.930
Ce Os Pb
8 2 2
Direct
0.184 0.684 0.368 Ce
0.381 0.123 0.763 Ce
0.000 0.189 0.000 Ce
0.619 0.360 0.237 Ce
0.816 0.316 0.632 Ce
0.619 0.877 0.237 Ce
0.000 0.811 0.000 Ce
0.381 0.640 0.763 Ce
0.254 0.500 0.000 Os
0.746 0.500 0.000 Os
0.801 0.801 0.603 Pb
0.199 0.199 0.397 Pb
```

Properties
Energy relative to the elements in eV per atom: -0.247

---

11.
Ce7Os2Pb2 after structural relaxation. Source: Alexandria, functional GGA-PBE.

```
Ce7Os2Pb2
1.0
-3.081 5.365 -3.433
-6.050 -2.973 0.785
0.158 1.502 6.913
Ce Os Pb
7 2 2
Direct
0.000 0.266 0.500 Ce
0.500 0.734 0.000 Ce
0.000 0.734 0.500 Ce
0.500 0.266 0.000 Ce
0.000 0.000 0.000 Ce
0.500 0.798 0.500 Ce
0.500 0.202 0.500 Ce
0.731 0.000 0.269 Os
0.269 0.000 0.731 Os
0.815 0.500 0.815 Pb
0.185 0.500 0.185 Pb
```

Properties
Energy relative to the elements in eV per atom: -0.142

---

12.
Ce2OsPb after structural relaxation. Source: Alexandria, functional GGA-PBE.

```
Ce2OsPb
1.0
-5.412 2.181 3.963
-4.124 -2.870 -6.572
4.384 -6.396 4.489
Ce Os Pb
8 4 4
Direct
0.600 0.870 0.095 Ce
0.995 0.225 0.095 Ce
0.400 0.130 0.905 Ce
0.005 0.775 0.905 Ce
0.293 0.587 0.576 Ce
0.216 0.010 0.424 Ce
0.707 0.413 0.424 Ce
0.784 0.990 0.576 Ce
0.337 0.087 0.174 Os
0.663 0.913 0.826 Os
0.053 0.803 0.605 Os
0.947 0.197 0.395 Os
0.371 0.621 0.243 Pb
0.151 0.401 0.802 Pb
0.629 0.379 0.757 Pb
0.849 0.599 0.198 Pb
```

Properties
Energy relative to the elements in eV per atom: -0.228

---

Which formula does entry 4 have?
CePuPaOs